# 1
KAs2SeO: PBEsol geometry, SCAN.

The structure in POSCAR format:
```
KAs2SeO
1.0
4.385 0.000 0.000
0.000 4.385 0.000
0.000 0.000 5.027
K As Se O
1 2 1 1
Direct
0.500 0.500 0.500
0.500 0.000 0.000
0.000 0.500 0.000
0.000 0.000 0.500
0.000 0.000 0.000
```

The density of states at the Fermi level comes out at 0.85 states/eV per atom. Its formation energy from raw total energies is 56 kJ/mol of formula units. As for the space-group type: P4/mmm (123). For the volume, the calculation gives 19.337 A^3/atom. The mass density is 4.88 Mg/m³.

***

# 2
KSnAsO5: PBEsol geometry, SCAN.

The structure in POSCAR format:
```
KSnAsO5
1.0
-1.193 -3.212 -5.792
8.747 -6.470 1.787
-7.871 -8.838 6.522
K O As Sn
8 40 8 8
Direct
0.774 0.795 0.369
0.310 0.058 0.887
0.690 0.558 0.113
0.810 0.558 0.613
0.726 0.795 0.869
0.226 0.295 0.631
0.190 0.058 0.387
0.274 0.295 0.131
0.977 0.136 0.223
0.324 0.727 0.100
0.320 0.769 0.903
0.824 0.227 0.400
0.680 0.269 0.097
0.517 0.374 0.491
0.978 0.126 0.754
0.676 0.227 0.900
0.530 0.387 0.739
0.017 0.874 0.009
0.522 0.126 0.254
0.478 0.626 0.746
0.044 0.878 0.233
0.996 0.129 0.009
0.022 0.626 0.246
0.456 0.878 0.733
0.176 0.727 0.600
0.970 0.387 0.239
0.030 0.887 0.761
0.470 0.887 0.261
0.803 0.974 0.601
0.544 0.378 0.267
0.983 0.374 0.991
0.180 0.769 0.403
0.004 0.629 0.991
0.697 0.974 0.101
0.477 0.636 0.277
0.308 0.029 0.099
0.808 0.529 0.401
0.483 0.874 0.509
0.496 0.629 0.491
0.956 0.378 0.767
0.023 0.636 0.777
0.820 0.269 0.597
0.192 0.029 0.599
0.523 0.136 0.723
0.692 0.529 0.901
0.303 0.474 0.899
0.197 0.474 0.399
0.504 0.129 0.509
0.167 0.748 0.002
0.667 0.248 0.498
0.833 0.248 0.998
0.997 0.002 0.677
0.503 0.002 0.177
0.497 0.502 0.823
0.003 0.502 0.323
0.333 0.748 0.502
0.746 0.251 0.750
0.000 0.499 0.875
0.500 0.999 0.625
0.246 0.751 0.750
0.500 0.499 0.375
0.754 0.251 0.250
0.254 0.751 0.250
0.000 0.999 0.125
```

The density of states at the Fermi level comes out at 0.00 states/eV per atom. Its formation energy from raw total energies is -1354 kJ/mol of formula units. As for the space-group type: Pna2_1 (33). For the volume, the calculation gives 15.665 A^3/atom. The mass density is 4.14 Mg/m³.

***

# 3
KTiAsO5: PBEsol geometry, SCAN.

The structure in POSCAR format:
```
KTiAsO5
1.0
6.593 0.000 0.000
0.000 10.782 0.000
0.000 0.000 13.168
O Ti As K
40 8 8 8
Direct
0.962 0.634 0.238
0.935 0.887 0.217
0.003 0.644 0.987
0.806 0.047 0.606
0.469 0.387 0.741
0.547 0.637 0.282
0.497 0.644 0.487
0.289 0.980 0.104
0.031 0.387 0.241
0.038 0.134 0.762
0.711 0.480 0.896
0.997 0.144 0.013
0.034 0.396 0.995
0.462 0.134 0.262
0.827 0.737 0.600
0.821 0.779 0.393
0.531 0.887 0.259
0.321 0.279 0.107
0.694 0.047 0.106
0.306 0.547 0.894
0.327 0.237 0.900
0.679 0.779 0.893
0.065 0.387 0.783
0.534 0.896 0.505
0.453 0.137 0.718
0.211 0.980 0.604
0.789 0.480 0.396
0.173 0.237 0.400
0.047 0.137 0.218
0.953 0.637 0.782
0.565 0.887 0.717
0.673 0.737 0.100
0.538 0.634 0.738
0.466 0.396 0.495
0.966 0.896 0.005
0.435 0.387 0.283
0.503 0.144 0.513
0.194 0.547 0.394
0.179 0.279 0.607
0.969 0.887 0.759
0.993 0.005 0.127
0.007 0.505 0.873
0.493 0.505 0.373
0.764 0.753 0.745
0.507 0.005 0.627
0.236 0.253 0.255
0.736 0.753 0.245
0.264 0.253 0.755
0.169 0.260 0.002
0.831 0.760 0.998
0.331 0.260 0.502
0.491 0.011 0.180
0.009 0.011 0.680
0.669 0.760 0.498
0.509 0.511 0.820
0.991 0.511 0.320
0.777 0.307 0.626
0.798 0.064 0.390
0.723 0.307 0.126
0.223 0.807 0.374
0.202 0.564 0.610
0.277 0.807 0.874
0.702 0.064 0.890
0.298 0.564 0.110
```

The density of states at the Fermi level comes out at 0.00 states/eV per atom. Its formation energy from raw total energies is -1813 kJ/mol of formula units. As for the space-group type: Pna2_1 (33). For the volume, the calculation gives 14.626 A^3/atom. The mass density is 3.43 Mg/m³.

***

# 4
KVAsO5: PBEsol geometry, SCAN.

The structure in POSCAR format:
```
KVAsO5
1.0
6.529 0.000 0.000
0.000 10.580 0.000
0.000 0.000 13.005
O K V As
40 8 8 8
Direct
0.662 0.111 0.598
0.784 0.366 0.899
0.540 0.213 0.233
0.325 0.566 0.610
0.460 0.713 0.767
0.576 0.959 0.209
0.005 0.200 0.485
0.960 0.213 0.733
0.076 0.459 0.291
0.825 0.066 0.890
0.443 0.717 0.218
0.808 0.795 0.106
0.943 0.217 0.282
0.924 0.959 0.709
0.216 0.866 0.101
0.505 0.700 0.015
0.557 0.217 0.782
0.424 0.459 0.791
0.995 0.700 0.515
0.192 0.295 0.894
0.976 0.963 0.260
0.040 0.713 0.267
0.037 0.446 0.495
0.495 0.200 0.985
0.716 0.366 0.399
0.338 0.611 0.402
0.162 0.611 0.902
0.838 0.111 0.098
0.057 0.717 0.718
0.692 0.795 0.606
0.524 0.963 0.760
0.175 0.566 0.110
0.308 0.295 0.394
0.463 0.446 0.995
0.963 0.946 0.505
0.537 0.946 0.005
0.284 0.866 0.601
0.024 0.463 0.740
0.476 0.463 0.240
0.675 0.066 0.390
0.298 0.276 0.609
0.221 0.028 0.885
0.279 0.028 0.385
0.779 0.528 0.115
0.702 0.776 0.391
0.798 0.776 0.891
0.202 0.276 0.109
0.721 0.528 0.615
0.991 0.835 0.629
0.739 0.090 0.744
0.239 0.590 0.756
0.009 0.335 0.371
0.261 0.590 0.256
0.761 0.090 0.244
0.509 0.835 0.129
0.491 0.335 0.871
0.986 0.335 0.819
0.827 0.084 0.497
0.673 0.084 0.997
0.014 0.835 0.181
0.173 0.584 0.503
0.327 0.584 0.003
0.514 0.335 0.319
0.486 0.835 0.681
```

The density of states at the Fermi level comes out at 0.05 states/eV per atom. Its formation energy from raw total energies is -1610 kJ/mol of formula units. As for the space-group type: Pna2_1 (33). For the volume, the calculation gives 14.037 A^3/atom. The mass density is 3.62 Mg/m³.

***

# 5
KAsW2O9: PBEsol geometry, SCAN.

The structure in POSCAR format:
```
KAsW2O9
1.0
-1.475 1.473 -4.549
-8.773 -0.026 2.836
1.487 16.144 4.746
O K W As
36 4 8 4
Direct
0.754 0.999 0.015
0.090 0.389 0.265
0.737 0.596 0.247
0.345 0.014 0.408
0.763 0.404 0.747
0.237 0.904 0.753
0.845 0.486 0.592
0.650 0.925 0.862
0.024 0.295 0.111
0.590 0.111 0.735
0.479 0.293 0.368
0.867 0.285 0.479
0.090 0.187 0.794
0.263 0.096 0.253
0.155 0.986 0.908
0.746 0.001 0.515
0.590 0.313 0.206
0.910 0.889 0.235
0.979 0.207 0.632
0.976 0.795 0.389
0.655 0.514 0.092
0.633 0.715 0.979
0.254 0.501 0.985
0.850 0.075 0.362
0.410 0.611 0.765
0.021 0.707 0.868
0.246 0.499 0.485
0.476 0.705 0.611
0.910 0.687 0.706
0.521 0.793 0.132
0.410 0.813 0.294
0.150 0.575 0.138
0.367 0.215 0.521
0.350 0.425 0.638
0.133 0.785 0.021
0.524 0.205 0.889
0.217 0.950 0.591
0.717 0.550 0.409
0.783 0.450 0.909
0.283 0.050 0.091
0.884 0.434 0.166
0.640 0.134 0.449
0.116 0.934 0.334
0.140 0.366 0.551
0.384 0.066 0.834
0.860 0.866 0.949
0.360 0.634 0.051
0.616 0.566 0.666
0.353 0.269 0.276
0.853 0.231 0.724
0.647 0.769 0.224
0.147 0.731 0.776
```

The density of states at the Fermi level comes out at 0.00 states/eV per atom. Its formation energy from raw total energies is -2555 kJ/mol of formula units. As for the space-group type: P2_12_12_1 (19). For the volume, the calculation gives 14.990 A^3/atom. The mass density is 5.33 Mg/m³.

***

# 6
KAs2Os: PBEsol geometry, SCAN.

The structure in POSCAR format:
```
KAs2Os
1.0
6.951 0.000 0.000
-3.475 6.040 0.042
0.000 3.960 5.713
Os As K
2 4 2
Direct
0.750 0.500 0.750
0.000 0.000 0.000
0.875 0.250 0.744
0.006 0.750 0.875
0.375 0.250 0.006
0.744 0.750 0.375
0.500 0.000 0.500
0.250 0.500 0.250
```

The density of states at the Fermi level comes out at 0.37 states/eV per atom. As for the space-group type: I-42d (122). For the volume, the calculation gives 29.831 A^3/atom. Its energy of formation from the pure elements is -0.14 eV per formula unit. The mass density is 5.28 Mg/m³.

***

# 7
KAs2Os: PBEsol geometry, SCAN.

The structure in POSCAR format:
```
KAs2Os
1.0
-2.818 -0.890 -1.046
1.075 -0.035 -2.865
3.074 -7.595 2.881
As Os K
2 1 1
Direct
0.777 0.277 0.554
0.083 0.083 0.167
0.199 0.699 0.397
0.441 0.441 0.883
```

The density of states at the Fermi level comes out at 0.24 states/eV per atom. As for the space-group type: Imm2 (44). For the volume, the calculation gives 20.155 A^3/atom. Its energy of formation from the pure elements is -0.20 eV per formula unit. The mass density is 7.81 Mg/m³.

***

# 8
K2AsP: PBEsol geometry, SCAN.

The structure in POSCAR format:
```
K2AsP
1.0
-0.027 -1.359 -4.172
2.502 -3.393 -1.218
-5.865 -7.187 0.071
K P As
2 1 1
Direct
0.959 0.959 0.122
0.791 0.791 0.628
0.542 0.542 0.373
0.208 0.208 0.377
```

The density of states at the Fermi level comes out at 0.31 states/eV per atom. As for the space-group type: R3m (160). For the volume, the calculation gives 37.200 A^3/atom. Its energy of formation from the pure elements is -0.92 eV per formula unit. The mass density is 2.05 Mg/m³.